This record from the Alexandria database describes a relaxed structure of Sr2TeRu. The functional is PBE-GGA.

Lattice parameters (Å, degrees): 6.466 6.466 6.466 138.55 138.55 60.06
Fractional coordinates of all 4 atoms:
1 Sr 0.000 0.000 0.000
2 Sr 0.750 0.250 0.500
3 Te 0.250 0.750 0.500
4 Ru 0.500 0.500 0.000

Output
E_form (uncorrected) = -0.042 eV/atom
M_tot = 1.6 μB per cell